1.
Compound: Ac2HfAgS6
Source: Alexandria
Functional: PBE
Structure: optimized geometry

- Raw total energy: -122.62 eV per cell
- Formation energy from raw total energies: -1552 meV per atom

a = 6.7540 Å, b = 7.6599 Å, c = 11.3907 Å
α = 90.00°, β = 124.36°, γ = 90.00°
With the nearest neighbours (Å) after each atom.
Fractional positions:
Ac1 0.2115 0.1028 0.2495  8 S 2.99-3.30
Ac2 0.2115 0.3972 0.7495  8 S 2.99-3.30
Ac3 0.7885 0.6028 0.2505  8 S 2.99-3.30
Ac4 0.7885 0.8972 0.7505  8 S 2.99-3.30
Hf1 0.5000 0.0000 0.0000  6 S 2.52-2.59
Hf2 0.5000 0.5000 0.5000  6 S 2.52-2.59
Ag1 0.0000 0.0000 0.5000  2 S 2.48
Ag2 0.0000 0.5000 0.0000  2 S 2.48
S1 0.1379 0.1672 0.9481  1 Hf 2.52
S2 0.1379 0.3328 0.4481  1 Hf 2.52
S3 0.2834 0.7028 0.9457  1 Hf 2.59, 1 Ag 2.79
S4 0.2834 0.7972 0.4457  1 Hf 2.59, 1 Ag 2.79
S5 0.3654 0.0330 0.7445  1 Ag 2.48, 1 Hf 2.52
S6 0.3654 0.4670 0.2445  1 Ag 2.48, 1 Hf 2.52
S7 0.6346 0.5330 0.7555  1 Ag 2.48, 1 Hf 2.52
S8 0.6346 0.9670 0.2555  1 Ag 2.48, 1 Hf 2.52
S9 0.7166 0.2028 0.5543  1 Hf 2.59, 1 Ag 2.79
S10 0.7166 0.2972 0.0543  1 Hf 2.59, 1 Ag 2.79
S11 0.8621 0.6672 0.5519  1 Hf 2.52
S12 0.8621 0.8328 0.0519  1 Hf 2.52

=====

2.
Compound: Ac2HfAgSe6
Source: Alexandria
Functional: PBE
Structure: optimized geometry

- Raw total energy: -111.98 eV per cell
- Formation energy from raw total energies: -1406 meV per atom

a = 6.9831 Å, b = 8.0280 Å, c = 11.8213 Å
α = 90.00°, β = 123.78°, γ = 90.00°
With the nearest neighbours (Å) after each atom.
Fractional positions:
Ac1 0.2030 0.1106 0.2497  8 Se 3.11-3.45
Ac2 0.2030 0.3894 0.7497  8 Se 3.11-3.45
Ac3 0.7970 0.6106 0.2503  8 Se 3.11-3.45
Ac4 0.7970 0.8894 0.7503  8 Se 3.11-3.45
Hf1 0.5000 0.0000 0.0000  6 Se 2.65-2.72
Hf2 0.5000 0.5000 0.5000  6 Se 2.65-2.72
Ag1 0.0000 0.0000 0.5000  4 Se 2.62-2.92
Ag2 0.0000 0.5000 0.0000  4 Se 2.62-2.92
Se1 0.1295 0.1657 0.9475  1 Hf 2.66
Se2 0.1295 0.3343 0.4475  1 Hf 2.66
Se3 0.2880 0.6988 0.9442  1 Hf 2.72, 1 Ag 2.92
Se4 0.2880 0.8012 0.4442  1 Hf 2.72, 1 Ag 2.92
Se5 0.3746 0.0343 0.7441  1 Ag 2.62, 1 Hf 2.65
Se6 0.3746 0.4657 0.2441  1 Ag 2.62, 1 Hf 2.65
Se7 0.6254 0.5343 0.7559  1 Ag 2.62, 1 Hf 2.65
Se8 0.6254 0.9657 0.2559  1 Ag 2.62, 1 Hf 2.65
Se9 0.7120 0.1988 0.5558  1 Hf 2.72, 1 Ag 2.92
Se10 0.7120 0.3012 0.0558  1 Hf 2.72, 1 Ag 2.92
Se11 0.8705 0.6657 0.5525  1 Hf 2.66
Se12 0.8705 0.8343 0.0525  1 Hf 2.66

=====

3.
Compound: Ac3AgHg4
Source: Alexandria
Functional: PBE
Structure: optimized geometry

- Raw total energy: -19.05 eV per cell
- Formation energy: -2.662 eV per formula unit

a = 8.4325 Å, b = 8.4325 Å, c = 8.4325 Å
α = 150.95°, β = 112.62°, γ = 75.00°
With the nearest neighbours (Å) after each atom.
Fractional positions:
Ac1 0.0000 0.0000 0.0000  8 Hg 3.45
Ac2 0.3063 0.8063 0.5000  6 Hg 3.28-3.41, 2 Ag 3.34
Ac3 0.6937 0.1937 0.5000  6 Hg 3.28-3.41, 2 Ag 3.34
Ag1 0.5000 0.5000 0.0000  4 Hg 2.99, 4 Ac 3.34
Hg1 0.1099 0.3771 0.7328  1 Ag 2.99, 1 Ac 3.28, 1 Hg 3.29
Hg2 0.3557 0.6229 0.7328  1 Ag 2.99, 1 Ac 3.28, 1 Hg 3.29
Hg3 0.6443 0.3771 0.2672  1 Ag 2.99, 1 Ac 3.28, 1 Hg 3.29
Hg4 0.8901 0.6229 0.2672  1 Ag 2.99, 1 Ac 3.28, 1 Hg 3.29

=====

4.
Compound: Ac2Ag2Hg3
Source: Alexandria
Functional: PBE
Structure: optimized geometry

- Distance to the lowest polymorph of the same formula: 16 meV/atom
- Raw total energy: -17.03 eV per cell
- Formation energy: -2.204 eV per formula unit

a = 6.1399 Å, b = 6.1399 Å, c = 7.6894 Å
α = 91.12°, β = 91.12°, γ = 42.98°
With the nearest neighbours (Å) after each atom.
Fractional positions:
Ac1 0.1265 0.1265 0.3006  5 Ag 3.30-3.42, 6 Hg 3.40-3.64
Ac2 0.8735 0.8735 0.6994  5 Ag 3.30-3.42, 6 Hg 3.40-3.64
Ag1 0.4129 0.4129 0.3702  1 Ag 2.79, 3 Hg 3.00-3.04
Ag2 0.5871 0.5871 0.6298  1 Ag 2.79, 3 Hg 3.00-3.04
Hg1 0.1773 0.1773 0.8526  2 Ag 3.00, 2 Hg 3.25
Hg2 0.5000 0.5000 0.0000  2 Ag 3.04, 4 Hg 3.25
Hg3 0.8227 0.8227 0.1474  2 Ag 3.00, 2 Hg 3.25

=====

5.
Compound: Ac2Ag2Hg
Source: Alexandria
Functional: PBE
Structure: optimized geometry

- Distance to the lowest polymorph of the same formula: 4 meV/atom
- Raw total energy: -31.67 eV per cell
- Formation energy: -1.614 eV per formula unit

a = 6.4007 Å, b = 6.4007 Å, c = 11.6165 Å
α = 114.29°, β = 114.29°, γ = 44.61°
With the nearest neighbours (Å) after each atom.
Fractional positions:
Ac1 0.0257 0.0257 0.3432  7 Ag 3.37-3.69, 4 Hg 3.43-3.57
Ac2 0.1899 0.1899 0.1073  6 Ag 3.34-3.55, 2 Hg 3.48
Ac3 0.8101 0.8101 0.8927  6 Ag 3.34-3.55, 2 Hg 3.48
Ac4 0.9743 0.9743 0.6568  7 Ag 3.37-3.69, 4 Hg 3.43-3.57
Ag1 0.3663 0.3663 0.4326  1 Ag 2.84, 2 Hg 2.87
Ag2 0.4732 0.4732 0.1111  1 Ag 2.92, 1 Hg 2.98
Ag3 0.5268 0.5268 0.8889  1 Ag 2.92, 1 Hg 2.98
Ag4 0.6337 0.6337 0.5674  1 Ag 2.84, 2 Hg 2.87
Hg1 0.2729 0.2729 0.6637  3 Ag 2.87-2.98
Hg2 0.7271 0.7271 0.3363  3 Ag 2.87-2.98

=====

6.
Compound: AcAgHg2
Source: Alexandria
Functional: PBE
Structure: optimized geometry

- Distance to the lowest polymorph of the same formula: 28 meV/atom
- Raw total energy: -17.64 eV per cell
- Formation energy: -1.254 eV per formula unit

a = 10.9656 Å, b = 10.9656 Å, c = 4.9272 Å
α = 90.00°, β = 90.00°, γ = 158.31°
With the nearest neighbours (Å) after each atom.
Fractional positions:
Ac1 0.1043 0.8957 0.7500  4 Ag 3.47, 8 Hg 3.54-3.64
Ac2 0.8957 0.1043 0.2500  4 Ag 3.47, 8 Hg 3.54-3.64
Ag1 0.3352 0.6648 0.7500  5 Hg 2.80-2.93
Ag2 0.6648 0.3352 0.2500  5 Hg 2.80-2.93
Hg1 0.2616 0.7384 0.2500  4 Ag 2.93, 4 Hg 3.25
Hg2 0.4651 0.5349 0.7500  1 Ag 2.80, 2 Hg 2.89
Hg3 0.5349 0.4651 0.2500  1 Ag 2.80, 2 Hg 2.89
Hg4 0.7384 0.2616 0.7500  4 Ag 2.93, 4 Hg 3.25

=====

7.
Compound: Ac4AgHg5
Source: Alexandria
Functional: PBE
Structure: optimized geometry

- Raw total energy: -24.84 eV per cell
- Formation energy: -4.046 eV per formula unit

a = 8.9009 Å, b = 8.9009 Å, c = 6.8717 Å
α = 103.71°, β = 103.71°, γ = 36.60°
With the nearest neighbours (Å) after each atom.
Fractional positions:
Ac1 0.0903 0.0903 0.3420  6 Hg 3.27-3.61, 2 Ag 3.49
Ac2 0.3146 0.3146 0.1904  6 Hg 3.19-3.52, 1 Ag 3.32
Ac3 0.6854 0.6854 0.8096  6 Hg 3.19-3.52, 1 Ag 3.32
Ac4 0.9097 0.9097 0.6580  6 Hg 3.27-3.61, 2 Ag 3.49
Ag1 0.5000 0.5000 0.5000  6 Ac 3.32-3.49, 2 Hg 3.44
Hg1 0.1053 0.1053 0.8747  4 Ac 3.19-3.28, 2 Hg 3.53
Hg2 0.2848 0.2848 0.6700  7 Ac 3.46-3.52, 4 Hg 3.64-3.78
Hg3 0.5000 0.5000 0.0000  2 Ag 3.44, 6 Hg 3.53-3.78, 6 Ac 3.68-3.72
Hg4 0.7152 0.7152 0.3300  7 Ac 3.46-3.52, 4 Hg 3.64-3.78
Hg5 0.8947 0.8947 0.1253  4 Ac 3.19-3.28, 2 Hg 3.53

=====

8.
Compound: Ac6Ag2Hg
Source: Alexandria
Functional: PBE
Structure: optimized geometry

- Raw total energy: -64.55 eV per cell
- Formation energy: -1.619 eV per formula unit

a = 9.5250 Å, b = 9.5250 Å, c = 9.5250 Å
α = 110.97°, β = 110.34°, γ = 107.13°
With the nearest neighbours (Å) after each atom.
Fractional positions:
Ac1 0.0595 0.2498 0.8097  2 Ag 3.33-3.66, 2 Hg 3.50-3.51
Ac2 0.1766 0.2690 0.4456  3 Ag 3.45-3.47, 1 Hg 3.48, 1 Ac 3.84
Ac3 0.1766 0.7310 0.9075  3 Ag 3.45-3.47, 1 Hg 3.48, 1 Ac 3.84
Ac4 0.3259 0.0305 0.7045  3 Ag 3.17-3.37
Ac5 0.3259 0.6214 0.2955  3 Ag 3.17-3.37
Ac6 0.4401 0.2498 0.1903  2 Ag 3.33-3.66, 2 Hg 3.50-3.51
Ac7 0.5599 0.7502 0.8097  2 Ag 3.33-3.66, 2 Hg 3.50-3.51
Ac8 0.6741 0.3786 0.7045  3 Ag 3.17-3.37
Ac9 0.6741 0.9695 0.2955  3 Ag 3.17-3.37
Ac10 0.8234 0.2690 0.0925  3 Ag 3.45-3.47, 1 Hg 3.48, 1 Ac 3.84
Ac11 0.8234 0.7310 0.5544  3 Ag 3.45-3.47, 1 Hg 3.48, 1 Ac 3.84
Ac12 0.9405 0.7502 0.1903  2 Ag 3.33-3.66, 2 Hg 3.50-3.51
Ag1 0.1245 0.6245 0.5000  1 Ag 2.82
Ag2 0.3514 0.0000 0.3514  1 Ag 3.23, 8 Ac 3.33-3.47
Ag3 0.6486 0.0000 0.6486  1 Ag 3.23, 8 Ac 3.33-3.47
Ag4 0.8755 0.3755 0.5000  1 Ag 2.82
Hg1 0.0000 0.0000 0.0000  8 Ac 3.48-3.50, 2 Ag 3.82
Hg2 0.5000 0.5000 0.0000  8 Ac 3.51-3.75

=====

9.
Compound: Ac2AgHg3
Source: Alexandria
Functional: PBE
Structure: optimized geometry

- Distance to the lowest polymorph of the same formula: 7 meV/atom
- Raw total energy: -14.59 eV per cell
- Formation energy: -2.613 eV per formula unit

a = 3.8821 Å, b = 5.0825 Å, c = 8.7729 Å
α = 90.00°, β = 90.00°, γ = 90.00°
With the nearest neighbours (Å) after each atom.
Fractional positions:
Ac1 0.0000 0.0000 0.0000  2 Ag 3.47, 10 Hg 3.53-3.59, 2 Ac 3.88
Ac2 0.0000 0.5000 0.4944  8 Hg 3.45-3.53, 4 Ag 3.52
Ag1 0.5000 0.0000 0.3275  3 Hg 2.88-2.89
Hg1 0.5000 0.0000 0.6561  1 Ag 2.88, 2 Hg 2.97
Hg2 0.5000 0.5000 0.1696  2 Ag 2.89, 1 Hg 2.97
Hg3 0.5000 0.5000 0.8309  3 Hg 2.97

=====

10.
Compound: Ac3Ag8Hg
Source: Alexandria
Functional: PBE
Structure: optimized geometry

- Raw total energy: -37.63 eV per cell
- Formation energy: -2.195 eV per formula unit

a = 10.2665 Å, b = 10.2665 Å, c = 10.2665 Å
α = 33.25°, β = 33.25°, γ = 33.25°
With the nearest neighbours (Å) after each atom.
Fractional positions:
Ac1 0.0000 0.0000 0.0000  12 Ag 3.31-3.56, 3 Hg 3.50
Ac2 0.1285 0.1285 0.1285  12 Ag 3.41-3.54, 4 Ac 3.74
Ac3 0.5157 0.5157 0.5157  12 Ag 3.33-3.70, 1 Hg 3.51
Ag1 0.0704 0.5683 0.5683  6 Ag 2.92-2.99
Ag2 0.0727 0.0727 0.5630  6 Ag 2.88-2.99
Ag3 0.0727 0.5630 0.0727  6 Ag 2.88-2.99
Ag4 0.3182 0.3182 0.3182  6 Ag 2.91-2.97
Ag5 0.5630 0.0727 0.0727  6 Ag 2.88-2.99
Ag6 0.5683 0.0704 0.5683  6 Ag 2.92-2.99
Ag7 0.5683 0.5683 0.0704  6 Ag 2.92-2.99
Ag8 0.8202 0.8202 0.8202  6 Ag 2.96-2.99
Hg1 0.6364 0.6364 0.6364  12 Ag 3.35-3.52, 4 Ac 3.50-3.51

=====

11.
Compound: Ac2Ag3Hg5
Source: Alexandria
Functional: PBE
Structure: optimized geometry

- Raw total energy: -41.47 eV per cell
- Formation energy: -2.454 eV per formula unit

a = 9.6078 Å, b = 9.6078 Å, c = 9.6078 Å
α = 96.54°, β = 96.20°, γ = 141.09°
With the nearest neighbours (Å) after each atom.
Fractional positions:
Ac1 0.2348 0.1286 0.3634  4 Hg 3.37-3.54, 4 Ag 3.45-3.58
Ac2 0.2652 0.6286 0.8937  4 Hg 3.37-3.54, 4 Ag 3.45-3.58
Ac3 0.7348 0.3714 0.1063  4 Hg 3.37-3.54, 4 Ag 3.45-3.58
Ac4 0.7652 0.8714 0.6366  4 Hg 3.37-3.54, 4 Ag 3.45-3.58
Ag1 0.1351 0.8669 0.0020  5 Hg 2.77-2.91
Ag2 0.2500 0.7500 0.5000  6 Hg 2.87-3.04, 2 Ag 3.20
Ag3 0.3649 0.3669 0.7318  5 Hg 2.77-2.91
Ag4 0.6351 0.6331 0.2682  5 Hg 2.77-2.91
Ag5 0.7500 0.2500 0.5000  6 Hg 2.87-3.04, 2 Ag 3.20
Ag6 0.8649 0.1331 0.9980  5 Hg 2.77-2.91
Hg1 0.1506 0.3917 0.5424  3 Ag 2.77-2.87, 2 Hg 3.01
Hg2 0.2500 0.2500 0.0000  4 Ag 2.91, 2 Hg 3.20
Hg3 0.2500 0.5122 0.2622  3 Ag 2.88-3.04, 4 Hg 3.01-3.20
Hg4 0.2500 0.9878 0.7378  3 Ag 2.88-3.04, 4 Hg 3.01-3.20
Hg5 0.3494 0.8917 0.2411  3 Ag 2.77-2.87, 2 Hg 3.01
Hg6 0.6506 0.1083 0.7589  3 Ag 2.77-2.87, 2 Hg 3.01
Hg7 0.7500 0.0122 0.2622  3 Ag 2.88-3.04, 4 Hg 3.01-3.20
Hg8 0.7500 0.4878 0.7378  3 Ag 2.88-3.04, 4 Hg 3.01-3.20
Hg9 0.7500 0.7500 0.0000  4 Ag 2.91, 2 Hg 3.20
Hg10 0.8494 0.6083 0.4576  3 Ag 2.77-2.87, 2 Hg 3.01

=====

12.
Compound: Ac2Ag4Hg3
Source: Alexandria
Functional: PBE
Structure: optimized geometry

- Raw total energy: -45.10 eV per cell
- Formation energy: -2.025 eV per formula unit

a = 8.9574 Å, b = 8.9574 Å, c = 8.5354 Å
α = 90.00°, β = 90.00°, γ = 137.77°
With the nearest neighbours (Å) after each atom.
Fractional positions:
Ac1 0.1206 0.8794 0.9266  8 Ag 3.38-3.56, 4 Hg 3.44-3.61
Ac2 0.3794 0.6206 0.4266  8 Ag 3.38-3.56, 4 Hg 3.44-3.61
Ac3 0.6206 0.3794 0.5734  8 Ag 3.38-3.56, 4 Hg 3.44-3.61
Ac4 0.8794 0.1206 0.0734  8 Ag 3.38-3.56, 4 Hg 3.44-3.61
Ag1 0.1756 0.8244 0.5292  5 Hg 2.94-3.02
Ag2 0.2033 0.2967 0.7500  3 Hg 2.79-2.92
Ag3 0.2967 0.2033 0.2500  3 Hg 2.79-2.92
Ag4 0.3244 0.6756 0.0292  5 Hg 2.94-3.02
Ag5 0.6756 0.3244 0.9708  5 Hg 2.94-3.02
Ag6 0.7033 0.7967 0.7500  3 Hg 2.79-2.92
Ag7 0.7967 0.7033 0.2500  3 Hg 2.79-2.92
Ag8 0.8244 0.1756 0.4708  5 Hg 2.94-3.02
Hg1 0.0000 0.0000 0.5000  6 Ag 2.79-2.94
Hg2 0.0287 0.4713 0.7500  5 Ag 2.92-3.02, 2 Hg 3.23
Hg3 0.4713 0.0287 0.2500  5 Ag 2.92-3.02, 2 Hg 3.23
Hg4 0.5000 0.5000 0.0000  6 Ag 2.79-2.94
Hg5 0.5287 0.9713 0.7500  5 Ag 2.92-3.02, 2 Hg 3.23
Hg6 0.9713 0.5287 0.2500  5 Ag 2.92-3.02, 2 Hg 3.23